Record 1
{"formula": "KReI2", "functional": "SCAN", "state": "PBEsol geometry", "dos_ef_per_ev_cell": 3.4, "space_group": "Fm-3m, No. 225", "raw_formation_energy_mev_per_atom": 937, "dft_energy_ev_per_cell": -149.16, "lattice_angstrom": [[-3.4010, -3.8774, 0.3894], [0.3750, -4.0940, -3.1386], [1.5003, -4.5763, 1.8867]], "species": ["K", "Re", "I", "I"], "fractional_positions": [[0.0000, 0.0000, 0.0000], [0.5000, 0.5000, 0.5000], [0.7500, 0.7500, 0.7500], [0.2500, 0.2500, 0.2500]]}

=====

Record 2
{"formula": "KReRh2I", "functional": "SCAN", "state": "PBEsol geometry", "dos_ef_per_ev_cell": 3.3, "space_group": "P4/mmm, No. 123", "raw_formation_energy_mev_per_atom": 951, "dft_energy_ev_per_cell": -178.96, "lattice_angstrom": [[-1.0482, 3.0269, -3.3289], [-4.4993, -0.6879, 0.7912], [0.0315, 4.7326, 4.2934]], "species": ["I", "Rh", "Rh", "Re", "K"], "fractional_positions": [[0.5000, 0.5000, 0.5000], [0.5000, 0.0000, 0.0000], [0.0000, 0.5000, 0.0000], [0.0000, 0.0000, 0.0000], [0.0000, 0.0000, 0.5000]]}

=====

Record 3
{"formula": "KTeRhI2", "functional": "SCAN", "state": "PBEsol geometry", "dos_ef_per_ev_cell": 3.3, "space_group": "P4/mmm, No. 123", "raw_formation_energy_mev_per_atom": -482, "dft_energy_ev_per_cell": -155.24, "lattice_angstrom": [[5.0134, 0.0000, 0.0000], [0.0000, 5.6357, 0.0000], [0.0000, 0.0000, 5.6357]], "species": ["I", "I", "Te", "K", "Rh"], "fractional_positions": [[0.0000, 0.5000, 0.0000], [0.0000, 0.0000, 0.5000], [0.5000, 0.0000, 0.0000], [0.5000, 0.5000, 0.5000], [0.0000, 0.0000, 0.0000]]}

=====

Record 4
{"formula": "KSI3", "functional": "SCAN", "state": "PBEsol geometry", "dos_ef_per_ev_cell": 3.4, "space_group": "Pm-3m, No. 221", "raw_formation_energy_mev_per_atom": -502, "dft_energy_ev_per_cell": -130.69, "lattice_angstrom": [[5.5845, 0.0000, 0.0000], [0.0000, 5.5845, 0.0000], [0.0000, 0.0000, 5.5845]], "species": ["I", "I", "I", "S", "K"], "fractional_positions": [[0.5000, 0.0000, 0.0000], [0.0000, 0.0000, 0.5000], [0.0000, 0.5000, 0.0000], [0.0000, 0.0000, 0.0000], [0.5000, 0.5000, 0.5000]]}

=====

Record 5
{"formula": "KSnSbI2", "functional": "SCAN", "state": "PBEsol geometry", "dos_ef_per_ev_cell": 2.8, "space_group": "P4/mmm, No. 123", "raw_formation_energy_mev_per_atom": -330, "dft_energy_ev_per_cell": -156.64, "lattice_angstrom": [[-3.8960, -3.9412, 1.2709], [1.8023, -3.3411, -4.8359], [4.0990, -2.9108, 3.5387]], "species": ["Sb", "Sn", "K", "I", "I"], "fractional_positions": [[0.5000, 0.0000, 0.0000], [0.0000, 0.0000, 0.0000], [0.5000, 0.5000, 0.5000], [0.0000, 0.5000, 0.0000], [0.0000, 0.0000, 0.5000]]}

=====

Record 6
{"formula": "KSbTeI2", "functional": "SCAN", "state": "PBEsol geometry", "dos_ef_per_ev_cell": 5.3, "space_group": "P4/mmm, No. 123", "raw_formation_energy_mev_per_atom": 472, "dft_energy_ev_per_cell": -153.97, "lattice_angstrom": [[6.0186, 0.0000, 0.0000], [0.0000, 6.0186, 0.0000], [0.0000, 0.0000, 6.1396]], "species": ["I", "I", "Sb", "Te", "K"], "fractional_positions": [[0.5000, 0.0000, 0.0000], [0.0000, 0.5000, 0.0000], [0.5000, 0.5000, 0.5000], [0.0000, 0.0000, 0.5000], [0.0000, 0.0000, 0.0000]]}

=====

Record 7
{"formula": "KTlSb2I", "functional": "SCAN", "state": "PBEsol geometry", "dos_ef_per_ev_cell": 3.5, "space_group": "P4/mmm, No. 123", "raw_formation_energy_mev_per_atom": 71, "dft_energy_ev_per_cell": -191.60, "lattice_angstrom": [[-3.7938, -1.4017, -3.9360], [3.3671, -4.1734, -1.7592], [-2.9047, -4.1460, 4.2762]], "species": ["Sb", "Sb", "Tl", "K", "I"], "fractional_positions": [[0.5000, 0.0000, 0.0000], [0.0000, 0.5000, 0.0000], [0.0000, 0.0000, 0.0000], [0.5000, 0.5000, 0.5000], [0.0000, 0.0000, 0.5000]]}

=====

Record 8
{"formula": "KSbWI2", "functional": "SCAN", "state": "PBEsol geometry", "dos_ef_per_ev_cell": 1.2, "space_group": "P4/mmm, No. 123", "raw_formation_energy_mev_per_atom": 112, "dft_energy_ev_per_cell": -188.20, "lattice_angstrom": [[-1.0780, -4.9346, 1.1046], [4.8257, -1.6508, -2.6654], [2.8966, 0.4752, 4.9499]], "species": ["I", "I", "K", "W", "Sb"], "fractional_positions": [[0.0000, 0.5000, 0.0000], [0.0000, 0.0000, 0.5000], [0.5000, 0.5000, 0.5000], [0.0000, 0.0000, 0.0000], [0.5000, 0.0000, 0.0000]]}

=====

Record 9
{"formula": "KZrSb2I", "functional": "SCAN", "state": "PBEsol geometry", "dos_ef_per_ev_cell": 4.0, "space_group": "P4/mmm, No. 123", "raw_formation_energy_mev_per_atom": -450, "dft_energy_ev_per_cell": -152.54, "lattice_angstrom": [[-3.0057, -0.8665, -4.5127], [1.3046, -5.3314, 0.1548], [-4.8461, -1.0860, 3.4363]], "species": ["K", "Sb", "Sb", "Zr", "I"], "fractional_positions": [[0.5000, 0.5000, 0.5000], [0.0000, 0.5000, 0.0000], [0.5000, 0.0000, 0.0000], [0.0000, 0.0000, 0.0000], [0.0000, 0.0000, 0.5000]]}

=====

Record 10
{"formula": "KScI3", "functional": "SCAN", "state": "PBEsol geometry", "dos_ef_per_ev_cell": 6.2, "space_group": "Pm-3m, No. 221", "relative_energy_ev_per_fu": 4.94, "raw_formation_energy_mev_per_atom": -245, "dft_energy_ev_per_cell": -134.02, "lattice_angstrom": [[6.0632, 0.0000, 0.0000], [0.0000, 6.0632, 0.0000], [0.0000, 0.0000, 6.0632]], "species": ["Sc", "I", "I", "I", "K"], "fractional_positions": [[0.5000, 0.5000, 0.5000], [0.0000, 0.5000, 0.0000], [0.5000, 0.0000, 0.0000], [0.0000, 0.0000, 0.5000], [0.0000, 0.0000, 0.0000]]}

=====

Record 11
{"formula": "KScI3", "functional": "SCAN", "state": "PBEsol geometry", "dos_ef_per_ev_cell": 2.7, "space_group": "Pm-3m, No. 221", "relative_energy_ev_per_fu": 0.00, "raw_formation_energy_mev_per_atom": -1234, "dft_energy_ev_per_cell": -138.96, "lattice_angstrom": [[5.7290, 0.0000, 0.0000], [0.0000, 5.7290, 0.0000], [0.0000, 0.0000, 5.7290]], "species": ["I", "I", "I", "Sc", "K"], "fractional_positions": [[0.0000, 0.0000, 0.5000], [0.0000, 0.5000, 0.0000], [0.5000, 0.0000, 0.0000], [0.0000, 0.0000, 0.0000], [0.5000, 0.5000, 0.5000]]}

=====

Record 12
{"formula": "KSc2I", "functional": "SCAN", "state": "PBEsol geometry", "dos_ef_per_ev_cell": 5.0, "space_group": "Fm-3m, No. 225", "raw_formation_energy_mev_per_atom": 591, "dft_energy_ev_per_cell": -71.18, "lattice_angstrom": [[-2.9032, 3.5227, 2.6959], [-5.2926, -0.2823, -0.1181], [-2.6705, -1.5183, 4.3207]], "species": ["Sc", "Sc", "K", "I"], "fractional_positions": [[0.7500, 0.7500, 0.7500], [0.2500, 0.2500, 0.2500], [0.0000, 0.0000, 0.0000], [0.5000, 0.5000, 0.5000]]}

=====

Record 13
{"formula": "KSc3I", "functional": "SCAN", "state": "PBEsol geometry", "dos_ef_per_ev_cell": 10.1, "space_group": "Pm-3m, No. 221", "raw_formation_energy_mev_per_atom": 531, "dft_energy_ev_per_cell": -85.13, "lattice_angstrom": [[-4.6181, -2.6444, 1.1511], [2.7239, -4.7133, 0.1005], [0.9477, 0.6611, 5.3207]], "species": ["Sc", "Sc", "Sc", "I", "K"], "fractional_positions": [[0.0000, 0.5000, 0.0000], [0.5000, 0.0000, 0.0000], [0.0000, 0.0000, 0.5000], [0.0000, 0.0000, 0.0000], [0.5000, 0.5000, 0.5000]]}